Entry 1:
DFT (GGA-PBE) results for a relaxed structure of CrCuOs2.

Fermi-level density of states	9.59	states/eV per cell
energy above the most stable polymorph in this dataset	0.357	eV per atom
E	-68.24	eV/cell
calculated formation energy	2.06	eV/f.u.

Cell: 2.7607 4.4458 8.9319 Å, 90.00 90.00 90.00°
Space group Cmm2 (No. 35)
Asymmetric unit:
Cr: 0.0000 0.0000 0.0000 x2
Cu: 0.0000 0.5000 0.7585 x2
Os: 0.0000 0.0000 0.5035 x2
Os: 0.0000 0.5000 0.2358 x2


Entry 2:
DFT (GGA-PBE) results for a relaxed structure of Rb3Np3AuSe8.

Fermi-level density of states	56.46	states/eV per cell
formation energy (no corrections)	-1469	kJ/mol of formula units
E	-176.21	eV/cell

Cell: 13.8688 8.7784 9.0541 Å, 90.00 117.98 90.00°
Space group C2/m (No. 12)
Asymmetric unit:
Rb: 0.0000 0.0000 0.0000 x2
Rb: 0.2500 0.2500 0.0000 x4
Np: 0.0000 0.5000 0.5000 x2
Np: 0.2500 0.2500 0.5000 x4
Au: 0.0000 0.0000 0.5000 x2
Se: 0.0287 0.2881 0.2916 x8
Se: 0.2073 0.0000 0.6722 x4
Se: 0.2328 0.5000 0.6964 x4


Entry 3:
DFT (GGA-PBE) results for a relaxed structure of BaCaTc2.

Fermi-level density of states	8.41	states/eV per cell
energy above the most stable polymorph in this dataset	0.310	eV per atom
E	-44.71	eV/cell
calculated formation energy	2.30	eV/f.u.

Cell: 10.9308 3.8880 7.1159 Å, 90.00 121.07 90.00°
Space group C2/m (No. 12)
Asymmetric unit:
Ba: 0.0000 0.0000 0.0000 x2
Ca: 0.0000 0.5000 0.5000 x2
Tc: 0.2418 0.5000 0.4025 x4


Entry 4:
DFT (GGA-PBE) results for a relaxed structure of Sr2HfMgTe.

Fermi-level density of states	5.93	states/eV per cell
formation energy (no corrections)	170	kJ/mol of formula units
E	-16.29	eV/cell

Cell: 6.3835 6.3835 5.4306 Å, 90.00 90.00 90.00°
Space group P4/mmm (No. 123)
Asymmetric unit:
Sr: 0.0000 0.5000 0.0000 x2
Hf: 0.0000 0.0000 0.0000 x1
Mg: 0.5000 0.5000 0.5000 x1
Te: 0.0000 0.0000 0.5000 x1


Entry 5:
DFT (GGA-PBE) results for a relaxed structure of Nd2DyPuP4.

Fermi-level density of states	12.40	states/eV per cell
E	-61.68	eV/cell
calculated formation energy	-11.57	eV/f.u.

Cell: 7.0550 4.0881 7.0666 Å, 90.00 109.46 90.00°
Space group P2/m (No. 10)
Asymmetric unit:
Nd: 0.0000 0.0000 0.0000 x1
Nd: 0.5000 0.5000 0.0000 x1
Dy: 0.0000 0.5000 0.5000 x1
Pu: 0.5000 0.0000 0.5000 x1
P: 0.2485 0.0000 0.7382 x2
P: 0.2572 0.5000 0.2640 x2


Entry 6:
DFT (GGA-PBE) results for a relaxed structure of BaHfMg3.

Fermi-level density of states	3.94	states/eV per cell
energy above the most stable polymorph in this dataset	0.990	eV per atom
E	-8.51	eV/cell
calculated formation energy	8.15	eV/f.u.

Cell: 5.5657 5.5657 5.5657 Å, 90.00 90.00 90.00°
Space group Pm-3m (No. 221)
Asymmetric unit:
Ba: 0.0000 0.0000 0.0000 x1
Hf: 0.5000 0.5000 0.5000 x1
Mg: 0.0000 0.0000 0.5000 x3


Entry 7:
DFT (GGA-PBE) results for a relaxed structure of KCuHg2.

Fermi-level density of states	6.09	states/eV per cell
energy above the most stable polymorph in this dataset	0.029	eV per atom
E	-23.97	eV/cell
calculated formation energy	-0.20	eV/f.u.

Cell: 18.6596 4.5789 5.2965 Å, 90.00 91.05 90.00°
Space group Cm (No. 8)
Asymmetric unit:
K: 0.0000 0.0000 0.0000 x2
K: 0.2058 0.0000 0.4916 x2
Cu: 0.3771 0.5000 0.5005 x2
Cu: 0.3817 0.0000 0.2828 x2
Hg: 0.0313 0.5000 0.4816 x2
Hg: 0.1414 0.5000 0.9837 x2
Hg: 0.3032 0.5000 0.0624 x2
Hg: 0.3766 0.0000 0.7793 x2


Entry 8:
DFT (GGA-PBE) results for a relaxed structure of YZnPS2.

Fermi-level density of states	5.72	states/eV per cell
energy above the most stable polymorph in this dataset	0.433	eV per atom
formation energy (no corrections)	62	kJ/mol of formula units
E	-20.76	eV/cell

Cell: 5.1891 5.1891 5.5032 Å, 90.00 90.00 90.00°
Space group P4/mmm (No. 123)
Asymmetric unit:
Y: 0.0000 0.0000 0.0000 x1
Zn: 0.5000 0.5000 0.5000 x1
P: 0.0000 0.0000 0.5000 x1
S: 0.0000 0.5000 0.0000 x2


Entry 9:
DFT (GGA-PBE) results for a relaxed structure of Pa2TiPb.

Fermi-level density of states	7.29	states/eV per cell
energy above the most stable polymorph in this dataset	0.000	eV per atom
E	-30.47	eV/cell
calculated formation energy	0.12	eV/f.u.

Cell: 4.3427 4.3427 4.9233 Å, 90.00 90.00 90.00°
Space group P4/mmm (No. 123)
Asymmetric unit:
Pa: 0.0000 0.5000 0.0000 x2
Ti: 0.0000 0.0000 0.5000 x1
Pb: 0.5000 0.5000 0.5000 x1


Entry 10:
DFT (GGA-PBE) results for a relaxed structure of Ho7Tl5Bi.

Fermi-level density of states	27.73	states/eV per cell
E	-100.15	eV/cell
calculated formation energy	-2.32	eV/f.u.

Cell: 6.3237 11.3497 10.6014 Å, 90.00 90.00 90.00°
Space group Imm2 (No. 44)
Asymmetric unit:
Ho: 0.0000 0.0000 0.0000 x2
Ho: 0.0000 0.0000 0.3809 x2
Ho: 0.0000 0.3344 0.5994 x4
Ho: 0.0000 0.3350 0.0805 x4
Ho: 0.0000 0.5000 0.3354 x2
Tl: 0.0000 0.5000 0.8346 x2
Tl: 0.2473 0.2596 0.3427 x8
Bi: 0.0000 0.0000 0.6779 x2


Entry 11:
DFT (GGA-PBE) results for a relaxed structure of CaLaSbPt.

Fermi-level density of states	1.31	states/eV per cell
formation energy (no corrections)	-375	kJ/mol of formula units
E	-83.91	eV/cell

Cell: 7.5155 7.5155 7.5155 Å, 90.00 90.00 90.00°
Space group F-43m (No. 216)
Asymmetric unit:
Ca: 0.0000 0.0000 0.0000 x4
La: 0.0000 0.0000 0.5000 x4
Sb: 0.2500 0.2500 0.7500 x4
Pt: 0.2500 0.2500 0.2500 x4


Entry 12:
DFT (GGA-PBE) results for a relaxed structure of CaYPd2.

Fermi-level density of states	1.05	states/eV per cell
E	-22.11	eV/cell
calculated formation energy	-3.26	eV/f.u.

Cell: 3.5138 3.5138 7.1221 Å, 90.00 90.00 90.00°
Space group P4/mmm (No. 123)
Asymmetric unit:
Ca: 0.0000 0.0000 0.0000 x1
Y: 0.0000 0.0000 0.5000 x1
Pd: 0.5000 0.5000 0.2691 x2


Entry 13:
DFT (GGA-PBE) results for a relaxed structure of TiGeRu2Pt.

Fermi-level density of states	9.40	states/eV per cell
E	-30.33	eV/cell
calculated formation energy	6.78	eV/f.u.

Cell: 4.8140 4.8140 4.5529 Å, 90.00 90.00 90.00°
Space group P4/mmm (No. 123)
Asymmetric unit:
Ti: 0.0000 0.0000 0.0000 x1
Ge: 0.5000 0.5000 0.0000 x1
Ru: 0.0000 0.5000 0.5000 x2
Pt: 0.5000 0.5000 0.5000 x1